Entry 1
This record from the Alexandria database describes an optimized crystal structure of SmThZn4. The functional is PBE.

* calculated volume: 22.24 Å³ per atom
* total moment: 0.0 μB/cell

abc: 4.1885 4.1885 15.2099
angles: 90.00 90.00 90.00
With the nearest neighbours (Å) after each atom.
Space group I-4m2 (No. 119)
Asymmetric unit:
Sm: 0.0000 0.0000 0.0000  12 Zn 3.21-3.30
Th: 0.0000 0.5000 0.7500  12 Zn 3.22-3.31
Zn: 0.0000 0.0000 0.4182  3 Zn 2.47-2.49
Zn: 0.0000 0.5000 0.1673  3 Zn 2.47-2.52

***

Entry 2
This record from the Alexandria database describes an optimized crystal structure of SmThZn4. The functional is PBE.

* calculated volume: 20.14 Å³ per atom
* total moment: 0.0 μB/cell

abc: 7.8475 7.8475 7.8475
angles: 90.00 90.00 90.00
With the nearest neighbours (Å) after each atom.
Space group F-43m (No. 216)
Asymmetric unit:
Sm: 0.0000 0.0000 0.0000  12 Zn 3.25, 4 Th 3.40
Th: 0.2500 0.2500 0.7500  12 Zn 3.26, 4 Sm 3.40
Zn: 0.1259 0.1259 0.3741  6 Zn 2.76-2.79

***

The winner here is entry 2, beating the second structure by 26 meV/atom.

***

Entry 1
This record from the Alexandria database describes an optimized crystal structure of SmTh2Zr. The functional is PBE.

* calculated volume: 29.67 Å³ per atom
* total moment: 0.0 μB/cell

abc: 7.8009 7.8009 7.8009
angles: 90.00 90.00 90.00
With the nearest neighbours (Å) after each atom.
Space group Fm-3m (No. 225)
Asymmetric unit:
Sm: 0.0000 0.0000 0.0000  8 Th 3.38
Th: 0.2500 0.2500 0.2500  4 Zr 3.38, 4 Sm 3.38
Zr: 0.0000 0.0000 0.5000  8 Th 3.38

***

Entry 2
This record from the Alexandria database describes an optimized crystal structure of SmTh2Zr. The functional is PBE.

* calculated volume: 30.15 Å³ per atom
* total moment: 0.0 μB/cell

abc: 4.9401 4.9401 4.9415
angles: 90.00 90.00 90.00
With the nearest neighbours (Å) after each atom.
Space group P4/mmm (No. 123)
Asymmetric unit:
Sm: 0.0000 0.0000 0.0000  4 Zr 3.49, 8 Th 3.49
Th: 0.0000 0.5000 0.5000  4 Th 3.49, 4 Zr 3.49, 4 Sm 3.49
Zr: 0.5000 0.5000 0.0000  4 Sm 3.49, 8 Th 3.49

***

The winner here is entry 2, beating the second structure by 32 meV/atom.

***

Entry 1
This record from the Alexandria database describes an optimized crystal structure of SmTh2Zr. The functional is PBE.

* calculated volume: 29.98 Å³ per atom
* total moment: 0.0 μB/cell

abc: 3.5076 3.5076 33.7666
angles: 90.00 90.00 120.00
With the nearest neighbours (Å) after each atom.
Space group R-3m (No. 166, hexagonal axes)
Asymmetric unit:
Sm: 0.0000 0.0000 0.0000  6 Sm 3.51, 6 Th 3.57
Th: 0.0000 0.0000 0.2462  3 Zr 3.36, 6 Th 3.51, 3 Sm 3.57
Zr: 0.0000 0.0000 0.5000  6 Th 3.36, 6 Zr 3.51

***

Entry 2
This record from the Alexandria database describes an optimized crystal structure of SmTh2Zr. The functional is PBE.

* calculated volume: 30.19 Å³ per atom
* total moment: 0.0 μB/cell

abc: 3.4925 3.4925 9.9010
angles: 90.00 90.00 90.00
With the nearest neighbours (Å) after each atom.
Space group P4/mmm (No. 123)
Asymmetric unit:
Sm: 0.0000 0.0000 0.0000  4 Sm 3.49, 8 Th 3.61
Th: 0.5000 0.5000 0.2660  4 Zr 3.39, 4 Th 3.49, 4 Sm 3.61
Zr: 0.0000 0.0000 0.5000  8 Th 3.39, 4 Zr 3.49

***

The winner here is entry 2, beating the second structure by 15 meV/atom.

***

Entry 1
This record from the Alexandria database describes an optimized crystal structure of Sm3Ti. The functional is PBE.

* calculated volume: 29.48 Å³ per atom
* total moment: 2.6 μB/cell

abc: 3.5284 11.2485 5.9426
angles: 90.00 90.00 90.00
With the nearest neighbours (Å) after each atom.
Space group Imm2 (No. 44)
Asymmetric unit:
Sm: 0.0000 0.0000 0.0000  4 Ti 3.32-3.59, 8 Sm 3.43-3.61
Sm: 0.0000 0.2270 0.6143  2 Ti 3.22, 7 Sm 3.43-3.53
Ti: 0.0000 0.5000 0.9731  8 Sm 3.22-3.59, 2 Ti 3.53

***

Entry 2
This record from the Alexandria database describes an optimized crystal structure of Sm3Ti. The functional is PBE.

* calculated volume: 29.98 Å³ per atom
* total moment: 0.0 μB/cell

abc: 3.3304 3.3516 10.7426
angles: 90.00 90.00 90.00
With the nearest neighbours (Å) after each atom.
Space group Pmm2 (No. 25)
Asymmetric unit:
Sm: 0.0000 0.0000 0.0000  10 Sm 3.33-3.65
Sm: 0.0000 0.5000 0.3017  4 Ti 3.18, 4 Sm 3.33-3.35
Sm: 0.5000 0.5000 0.7441  2 Ti 3.11, 4 Sm 3.33-3.35
Ti: 0.5000 0.0000 0.4997  6 Sm 3.11-3.18, 4 Ti 3.33-3.35

***

The winner here is entry 1, beating the second structure by 134 meV/atom.

***

Entry 1
This record from the Alexandria database describes an optimized crystal structure of Sm2TiTl. The functional is PBE.

* calculated volume: 26.88 Å³ per atom
* total moment: 2.2 μB/cell

abc: 4.9005 4.9005 4.4780
angles: 90.00 90.00 90.00
With the nearest neighbours (Å) after each atom.
Space group P4/mmm (No. 123)
Asymmetric unit:
Sm: 0.0000 0.5000 0.0000  4 Tl 3.32, 4 Ti 3.32, 4 Sm 3.47
Ti: 0.0000 0.0000 0.5000  8 Sm 3.32, 4 Tl 3.47
Tl: 0.5000 0.5000 0.5000  8 Sm 3.32, 4 Ti 3.47

***

Entry 2
This record from the Alexandria database describes an optimized crystal structure of Sm2TiTl. The functional is PBE.

* calculated volume: 28.17 Å³ per atom
* total moment: 5.8 μB/cell

abc: 3.3549 3.3549 34.6852
angles: 90.00 90.00 120.00
With the nearest neighbours (Å) after each atom.
Space group R-3m (No. 166, hexagonal axes)
Asymmetric unit:
Sm: 0.0000 0.0000 0.0860  1 Ti 2.98
Ti: 0.0000 0.0000 0.0000  2 Sm 2.98
Tl: 0.0000 0.0000 0.5000  6 Tl 3.35, 6 Sm 3.40

***

The winner here is entry 1, beating the second structure by 347 meV/atom.

***

Entry 1
This record from the Alexandria database describes an optimized crystal structure of SmTmTi. The functional is PBE.

* calculated volume: 26.52 Å³ per atom
* total moment: 0.0 μB/cell

abc: 3.3560 3.3560 14.1264
angles: 90.00 90.00 90.00
With the nearest neighbours (Å) after each atom.
Space group I4mm (No. 107)
Asymmetric unit:
Sm: 0.0000 0.0000 0.0000  4 Ti 3.23, 4 Sm 3.36
Tm: 0.0000 0.0000 0.3015  4 Ti 3.14, 4 Tm 3.36
Ti: 0.0000 0.0000 0.6556  4 Tm 3.14, 4 Sm 3.23, 4 Ti 3.36

***

Entry 2
This record from the Alexandria database describes an optimized crystal structure of SmTmTi. The functional is PBE.

* calculated volume: 27.02 Å³ per atom
* total moment: 0.0 μB/cell

abc: 3.5541 3.5541 12.8329
angles: 90.00 90.00 90.00
With the nearest neighbours (Å) after each atom.
Space group P4/nmm (No. 129, origin choice 2)
Asymmetric unit:
Sm: 0.2500 0.2500 0.0992  8 Sm 3.55-3.58, 4 Tm 3.65
Tm: 0.2500 0.2500 0.6943  5 Ti 3.05-3.17
Ti: 0.2500 0.2500 0.4568  4 Ti 2.75, 1 Tm 3.05

***

The winner here is entry 2, beating the second structure by 126 meV/atom.